The following is a GGA-PBE calculation of Li2PbBr after structural relaxation, from the Alexandria database.

POSCAR file:
```
Li2PbBr
1.0
3.4660 0.0000 0.0000
0.0000 3.4660 0.0000
0.0000 0.0000 8.3663
Li Pb Br
2 1 1
direct
0.0000 0.0000 0.0000
0.5000 0.5000 0.3998
0.0000 0.0000 0.6367
0.5000 0.5000 0.1003
```

**VASP energy**: -12.08 eV/cell
**Density**: 5.0 g/cm³
**Formation energy (no corrections)**: -717 meV per atom
**Offset from the most stable computed form**: 40 meV per atom

***

The following is a GGA-PBE calculation of LiPbBr2 after structural relaxation, from the Alexandria database.

POSCAR file:
```
LiPbBr2
1.0
6.1851 -1.7710 0.0000
6.1851 1.7710 0.0000
-0.9115 0.0000 6.1397
Li Pb Br
1 1 2
direct
0.0000 0.0000 0.0000
0.8240 0.8240 0.3623
0.3602 0.3602 0.8365
0.5880 0.5880 0.2799
```

**VASP energy**: -12.31 eV/cell
**Density**: 4.6 g/cm³
**Formation energy (no corrections)**: -834 meV per atom
**Offset from the most stable computed form**: 113 meV per atom

***

The following is a GGA-PBE calculation of LiPbBr2 after structural relaxation, from the Alexandria database.

POSCAR file:
```
LiPbBr2
1.0
-2.1240 2.1240 7.2638
2.1240 -2.1240 7.2638
2.1240 2.1240 -7.2638
Li Pb Br
1 1 2
direct
0.0000 0.0000 0.0000
0.2500 0.7500 0.5000
0.5000 0.5000 0.0000
0.7500 0.2500 0.5000
```

**VASP energy**: -11.57 eV/cell
**Density**: 4.7 g/cm³
**Formation energy (no corrections)**: -650 meV per atom
**Offset from the most stable computed form**: 297 meV per atom